VASP calculation (GGA-PBE) on an optimized crystal structure of Pm12AlCo5.

a b c (Å): 8.4908 8.4908 8.4908
angles (deg): 107.98 110.57 109.88
Element x y z (fractional)
Co 0.5000 0.1126 0.6126
Pm 0.6960 0.6832 0.3792
Pm 0.6960 0.3168 0.0128
Pm 0.3040 0.6832 0.9872
Pm 0.1901 0.9867 0.7966
Pm 0.3040 0.3168 0.6208
Pm 0.4854 0.1867 0.2987
Co 0.0000 0.0000 0.0000
Co 0.5000 0.8874 0.3874
Pm 0.1901 0.3935 0.2034
Pm 0.5146 0.8133 0.7013
Pm 0.8099 0.0133 0.2034
Al 0.0000 0.5000 0.5000
Pm 0.1120 0.8133 0.2987
Co 0.6202 0.6202 0.0000
Pm 0.8880 0.1867 0.7013
Co 0.3798 0.3798 0.0000
Pm 0.8099 0.6065 0.7966

Values from the calculation:
E_tot: -5.473 eV per atom
energy of formation from the pure elements: -0.124 eV/atom
density of states at the Fermi level: 15.1 states/eV/f.u.